(1)
The following is a DFT calculation (PBE) of an optimized crystal structure of K3In2Se4.

The value obtained for the total energy is -0.24988 Ry per atom. As for the crystal system: monoclinic. The size of the total moment is 0.00 μB per formula unit.

The structure belongs to space group C2/m (No. 12); the cell edges are 14.9578, 4.8167 and 11.0859 Å and the angles 90.00°, 126.90° and 90.00°. The asymmetric unit holds K at (0.0000, 0.0000, 0.0000), K at (0.1258, 0.5000, 0.7727), In at (0.1848, 0.5000, 0.3453), Se at (0.1064, 0.0000, 0.3782) and Se at (0.1941, 0.5000, 0.1219).

=====

(2)
The following is a DFT calculation (PBE) of an optimized crystal structure of Pa2AlTe.

The value obtained for the total energy is -0.48503 Ry per atom. As for the crystal system: trigonal. The size of the total moment is 0.00 μB per formula unit. The calculation puts the offset from the most stable computed form at 0.136 eV/atom.

The structure belongs to space group R-3m (No. 166, hexagonal axes); the cell edges are 4.3387, 4.3387 and 20.3721 Å and the angles 90.00°, 90.00° and 120.00°. The asymmetric unit holds Pa at (0.0000, 0.0000, 0.2419), Al at (0.0000, 0.0000, 0.5000) and Te at (0.0000, 0.0000, 0.0000).

=====

Number 1: calculated volume 639 Å³/cell. Number 2: calculated volume 332 Å³/cell.